(1)
A plane-wave DFT calculation with PBE was carried out for a relaxed structure of YMgTi2H.

Lattice parameters (Å, degrees): 4.3435 4.3435 4.5921 90.00 90.00 90.00
Fractional coordinates of all 5 atoms:
1 Y 0.0000 0.0000 0.5000
2 Ti 0.5000 0.0000 0.0000
3 Ti 0.0000 0.5000 0.0000
4 H 0.0000 0.0000 0.0000
5 Mg 0.5000 0.5000 0.5000

Summary:
Fermi-level density of states	6.03	states/eV per cell
total magnetization	0.00	Bohr magnetons per cell
energy	-5.410	eV/atom

(2)
A plane-wave DFT calculation with PBE was carried out for a relaxed structure of Sm3Hg2Pt3.

Lattice parameters (Å, degrees): 5.9408 8.6709 8.6709 120.00 90.00 90.00
Fractional coordinates of all 16 atoms:
1 Sm 0.7500 0.0000 0.2925
2 Sm 0.2500 0.0000 0.7075
3 Sm 0.2500 0.7075 0.0000
4 Sm 0.2500 0.2925 0.2925
5 Sm 0.7500 0.2925 0.0000
6 Sm 0.7500 0.7075 0.7075
7 Pt 0.7500 0.3645 0.3645
8 Pt 0.7500 0.0000 0.6355
9 Pt 0.2500 0.0000 0.3645
10 Pt 0.2500 0.3645 0.0000
11 Pt 0.2500 0.6355 0.6355
12 Pt 0.7500 0.6355 0.0000
13 Hg 0.0000 0.3333 0.6667
14 Hg 0.5000 0.6667 0.3333
15 Hg 0.5000 0.3333 0.6667
16 Hg 0.0000 0.6667 0.3333

Summary:
Fermi-level density of states	8.78	states/eV per cell
total magnetization	0.00	Bohr magnetons per cell
energy	-4.937	eV/atom

(3)
A plane-wave DFT calculation with PBE was carried out for a relaxed structure of RbLiCdHg2.

Lattice parameters (Å, degrees): 5.3090 6.1587 5.3090 90.00 90.00 90.00
Fractional coordinates of all 5 atoms:
1 Hg 0.5000 0.0000 0.0000
2 Hg 0.0000 0.0000 0.5000
3 Cd 0.5000 0.5000 0.5000
4 Rb 0.0000 0.5000 0.0000
5 Li 0.0000 0.0000 0.0000

Summary:
energy above the most stable polymorph in this dataset	169	meV per atom
Fermi-level density of states	2.83	states/eV per cell
total magnetization	0.00	Bohr magnetons per cell
energy	-0.836	eV/atom

(4)
A plane-wave DFT calculation with PBE was carried out for a relaxed structure of AgIrCl2.

Lattice parameters (Å, degrees): 5.9364 7.0998 3.0336 115.16 59.35 134.96
Fractional coordinates of all 4 atoms:
1 Ag 0.5000 0.0000 0.5000
2 Cl 0.0000 0.0000 0.0000
3 Cl 0.0000 0.5000 0.5000
4 Ir 0.5000 0.5000 0.0000

Summary:
energy above the most stable polymorph in this dataset	425	meV per atom
Fermi-level density of states	2.85	states/eV per cell
total magnetization	0.00	Bohr magnetons per cell
uncorrected formation energy	0.460	eV/atom
energy	-3.391	eV/atom

(5)
A plane-wave DFT calculation with PBE was carried out for a relaxed structure of ScNi3H.

Lattice parameters (Å, degrees): 4.2666 5.2040 4.8670 90.00 88.67 90.00
Fractional coordinates of all 10 atoms:
1 Ni 0.7503 0.4933 0.1527
2 Ni 0.7503 0.0067 0.1527
3 Ni 0.7425 0.7500 0.7009
4 Ni 0.2497 0.9933 0.8473
5 Ni 0.2575 0.2500 0.2991
6 Ni 0.2497 0.5067 0.8473
7 Sc 0.2574 0.7500 0.3626
8 Sc 0.7426 0.2500 0.6374
9 H 0.0292 0.2500 0.0053
10 H 0.9708 0.7500 0.9947

Summary:
energy above the most stable polymorph in this dataset	63	meV per atom
Fermi-level density of states	3.34	states/eV per cell
total magnetization	0.00	Bohr magnetons per cell
energy	-5.761	eV/atom

(6)
A plane-wave DFT calculation with PBE was carried out for a relaxed structure of RhIBrO2.

Lattice parameters (Å, degrees): 3.8222 3.8222 7.7734 90.00 90.00 90.00
Fractional coordinates of all 5 atoms:
1 Br 0.0000 0.0000 0.0000
2 I 0.0000 0.0000 0.5000
3 Rh 0.5000 0.5000 0.5000
4 O 0.5000 0.0000 0.0000
5 O 0.0000 0.5000 0.0000

Summary:
energy above the most stable polymorph in this dataset	618	meV per atom
Fermi-level density of states	6.31	states/eV per cell
total magnetization	0.18	Bohr magnetons per cell
uncorrected formation energy	0.721	eV/atom
energy	-3.377	eV/atom

(7)
A plane-wave DFT calculation with PBE was carried out for a relaxed structure of TbHoMg2Pd4.

Lattice parameters (Å, degrees): 4.7728 4.7728 8.2752 73.24 73.24 60.00
Fractional coordinates of all 8 atoms:
1 Pd 0.8747 0.8747 0.3759
2 Pd 0.1253 0.1253 0.6241
3 Pd 0.3761 0.3761 0.8718
4 Pd 0.6239 0.6239 0.1282
5 Tb 0.0000 0.0000 0.0000
6 Mg 0.2497 0.2497 0.2510
7 Mg 0.7503 0.7503 0.7490
8 Ho 0.5000 0.5000 0.5000

Summary:
Fermi-level density of states	3.43	states/eV per cell
total magnetization	0.00	Bohr magnetons per cell
energy	-4.952	eV/atom

(8)
A plane-wave DFT calculation with PBE was carried out for a relaxed structure of TbAl2Au6.

Lattice parameters (Å, degrees): 4.3289 7.0726 7.0726 63.77 75.39 75.39
Fractional coordinates of all 9 atoms:
1 Au 0.5000 0.7081 0.2919
2 Au 0.5000 0.2919 0.7081
3 Au 0.1771 0.5251 0.1288
4 Au 0.1771 0.1288 0.5251
5 Au 0.8229 0.8712 0.4749
6 Au 0.8229 0.4749 0.8712
7 Tb 0.0000 0.0000 0.0000
8 Al 0.7003 0.2998 0.2998
9 Al 0.2997 0.7002 0.7002

Summary:
energy above the most stable polymorph in this dataset	0	meV per atom
Fermi-level density of states	3.79	states/eV per cell
total magnetization	0.00	Bohr magnetons per cell
energy	-3.922	eV/atom

(9)
A plane-wave DFT calculation with PBE was carried out for a relaxed structure of CuRh3.

Lattice parameters (Å, degrees): 5.1290 5.1290 5.1290 149.27 125.84 63.57
Fractional coordinates of all 4 atoms:
1 Rh 0.5822 0.2494 0.3328
2 Rh 0.0834 0.7506 0.3328
3 Rh 0.5005 0.5000 0.0005
4 Cu 0.0007 0.0000 0.0007

Summary:
Fermi-level density of states	7.27	states/eV per cell
total magnetization	0.00	Bohr magnetons per cell
energy	-6.476	eV/atom

(10)
A plane-wave DFT calculation with PBE was carried out for a relaxed structure of Ca3CdB.

Lattice parameters (Å, degrees): 5.3004 5.3004 5.3004 90.00 90.00 90.00
Fractional coordinates of all 5 atoms:
1 Ca 0.0000 0.5000 0.0000
2 Ca 0.0000 0.0000 0.5000
3 Ca 0.5000 0.0000 0.0000
4 B 0.0000 0.0000 0.0000
5 Cd 0.5000 0.5000 0.5000

Summary:
energy above the most stable polymorph in this dataset	0	meV per atom
Fermi-level density of states	5.02	states/eV per cell
total magnetization	1.14	Bohr magnetons per cell
energy	-2.587	eV/atom

(11)
A plane-wave DFT calculation with PBE was carried out for a relaxed structure of Cs2AgBr.

Lattice parameters (Å, degrees): 4.4329 4.4329 9.0399 90.00 90.00 90.00
Fractional coordinates of all 4 atoms:
1 Cs 0.0000 0.0000 0.7618
2 Cs 0.0000 0.0000 0.2382
3 Ag 0.5000 0.5000 0.5000
4 Br 0.5000 0.5000 0.0000

Summary:
energy above the most stable polymorph in this dataset	36	meV per atom
total magnetization	0.00	Bohr magnetons per cell
uncorrected formation energy	-0.831	eV/atom
energy	-2.389	eV/atom

(12)
A plane-wave DFT calculation with PBE was carried out for a relaxed structure of Sm3CF3.

Lattice parameters (Å, degrees): 6.5623 6.5623 7.6434 64.58 64.58 60.00
Fractional coordinates of all 14 atoms:
1 Sm 0.4296 0.0717 0.7814
2 Sm 0.0717 0.7173 0.7814
3 Sm 0.2827 0.5704 0.2186
4 Sm 0.5704 0.9283 0.2186
5 Sm 0.7173 0.4296 0.7814
6 Sm 0.9283 0.2827 0.2186
7 F 0.1882 0.8649 0.3864
8 F 0.4395 0.8118 0.6136
9 F 0.8649 0.5605 0.3864
10 F 0.5605 0.1882 0.3864
11 F 0.8118 0.1351 0.6136
12 F 0.1351 0.4395 0.6136
13 C 0.3333 0.3333 0.0002
14 C 0.6667 0.6667 0.9998

Summary:
Fermi-level density of states	6.31	states/eV per cell
total magnetization	0.00	Bohr magnetons per cell
uncorrected formation energy	-2.381	eV/atom
energy	-6.524	eV/atom

(13)
A plane-wave DFT calculation with PBE was carried out for a relaxed structure of CaTi2In.

Lattice parameters (Å, degrees): 8.0632 8.0632 6.4376 51.23 51.23 90.00
Fractional coordinates of all 8 atoms:
1 Ca 0.5000 0.5000 0.0000
2 Ca 0.2500 0.7500 0.5000
3 Ti 0.6520 0.1250 0.2500
4 Ti 0.0980 0.6250 0.2500
5 Ti 0.3750 0.3480 0.7500
6 Ti 0.8750 0.9020 0.7500
7 In 0.7500 0.2500 0.5000
8 In 0.0000 0.0000 0.0000

Summary:
Fermi-level density of states	9.37	states/eV per cell
total magnetization	5.68	Bohr magnetons per cell
energy	-4.583	eV/atom

(14)
A plane-wave DFT calculation with PBE was carried out for a relaxed structure of NaCa2TaNb.

Lattice parameters (Å, degrees): 5.4202 5.3702 5.4202 90.00 90.00 90.00
Fractional coordinates of all 5 atoms:
1 Ca 0.0000 0.0000 0.5000
2 Ca 0.5000 0.0000 0.0000
3 Ta 0.0000 0.0000 0.0000
4 Na 0.0000 0.5000 0.0000
5 Nb 0.5000 0.5000 0.5000

Summary:
Fermi-level density of states	10.11	states/eV per cell
total magnetization	0.00	Bohr magnetons per cell
energy	-3.357	eV/atom

(15)
A plane-wave DFT calculation with PBE was carried out for a relaxed structure of Ca4AcAg2.

Lattice parameters (Å, degrees): 6.7478 8.8880 8.5436 112.24 90.00 90.00
Fractional coordinates of all 14 atoms:
1 Ag 0.7500 0.3739 0.4116
2 Ag 0.2500 0.6261 0.5884
3 Ag 0.2500 0.2513 0.9810
4 Ag 0.7500 0.7487 0.0190
5 Ca 0.2500 0.2642 0.3484
6 Ca 0.4989 0.5844 0.2343
7 Ca 0.2500 0.9805 0.6047
8 Ca 0.7500 0.7358 0.6516
9 Ca 0.5011 0.4156 0.7657
10 Ca 0.7500 0.0195 0.3953
11 Ca 0.9989 0.4156 0.7657
12 Ca 0.0011 0.5844 0.2343
13 Ac 0.2500 0.8521 0.9958
14 Ac 0.7500 0.1479 0.0042

Summary:
Fermi-level density of states	13.50	states/eV per cell
total magnetization	0.00	Bohr magnetons per cell
energy	-2.695	eV/atom

(16)
A plane-wave DFT calculation with PBE was carried out for a relaxed structure of BaPmAg2S4.

Lattice parameters (Å, degrees): 7.0691 6.4695 6.4695 66.26 56.88 56.88
Fractional coordinates of all 8 atoms:
1 S 0.0788 0.9211 0.4882
2 S 0.9212 0.5118 0.0789
3 S 0.5119 0.4882 0.9211
4 S 0.4881 0.0789 0.5118
5 Ag 0.2494 0.2506 0.2506
6 Ag 0.7506 0.7494 0.7494
7 Pm 0.5000 0.5000 0.5000
8 Ba 0.0000 0.0000 0.0000

Summary:
Fermi-level density of states	3.22	states/eV per cell
total magnetization	0.00	Bohr magnetons per cell
uncorrected formation energy	-1.112	eV/atom
energy	-4.723	eV/atom

(17)
A plane-wave DFT calculation with PBE was carried out for a relaxed structure of TbCe2Fe.

Lattice parameters (Å, degrees): 3.4068 3.4068 8.5737 90.00 90.00 90.00
Fractional coordinates of all 4 atoms:
1 Fe 0.5000 0.5000 0.0000
2 Ce 0.0000 0.0000 0.8101
3 Ce 0.0000 0.0000 0.1899
4 Tb 0.5000 0.5000 0.5000

Summary:
energy above the most stable polymorph in this dataset	195	meV per atom
Fermi-level density of states	10.61	states/eV per cell
total magnetization	0.19	Bohr magnetons per cell
energy	-6.115	eV/atom

(18)
A plane-wave DFT calculation with PBE was carried out for a relaxed structure of LaTeOs2.

Lattice parameters (Å, degrees): 4.2327 4.3648 5.5206 90.01 90.00 90.00
Fractional coordinates of all 4 atoms:
1 Te 0.5000 0.2500 0.2500
2 Os 0.0000 0.2502 0.9608
3 Os 0.0000 0.2498 0.5392
4 La 0.5000 0.7500 0.7500

Summary:
Fermi-level density of states	3.34	states/eV per cell
total magnetization	0.00	Bohr magnetons per cell
uncorrected formation energy	0.214	eV/atom
energy	-7.418	eV/atom

(19)
A plane-wave DFT calculation with PBE was carried out for a relaxed structure of SbTeH.

Lattice parameters (Å, degrees): 4.4775 3.8262 4.3758 90.00 90.00 90.00
Fractional coordinates of all 3 atoms:
1 Te 0.5000 0.0000 0.5000
2 H 0.5000 0.5000 0.5000
3 Sb 0.0000 0.0000 0.0000

Summary:
energy above the most stable polymorph in this dataset	190	meV per atom
Fermi-level density of states	1.04	states/eV per cell
total magnetization	0.00	Bohr magnetons per cell
energy	-3.233	eV/atom

(20)
A plane-wave DFT calculation with PBE was carried out for a relaxed structure of MnPdN3.

Lattice parameters (Å, degrees): 3.6697 3.6697 3.6697 90.00 90.00 90.00
Fractional coordinates of all 5 atoms:
1 N 0.0000 0.5000 0.0000
2 N 0.0000 0.0000 0.5000
3 N 0.5000 0.0000 0.0000
4 Pd 0.5000 0.5000 0.5000
5 Mn 0.0000 0.0000 0.0000

Summary:
Fermi-level density of states	3.96	states/eV per cell
total magnetization	0.00	Bohr magnetons per cell
uncorrected formation energy	1.131	eV/atom
energy	-6.736	eV/atom

(21)
A plane-wave DFT calculation with PBE was carried out for a relaxed structure of PrNdTh.

Lattice parameters (Å, degrees): 3.6406 3.6406 9.0108 90.00 90.00 120.00
Fractional coordinates of all 3 atoms:
1 Pr 0.3333 0.6667 0.6535
2 Th 0.6667 0.3333 0.3324
3 Nd 0.0000 0.0000 0.0141

Summary:
energy above the most stable polymorph in this dataset	8	meV per atom
Fermi-level density of states	4.63	states/eV per cell
total magnetization	0.00	Bohr magnetons per cell
energy	-5.624	eV/atom

(22)
A plane-wave DFT calculation with PBE was carried out for a relaxed structure of Pm8YMg2.

Lattice parameters (Å, degrees): 5.8202 8.9573 9.1170 60.58 76.60 61.84
Fractional coordinates of all 11 atoms:
1 Pm 0.1425 0.9027 0.7719
2 Pm 0.5000 0.7897 0.4206
3 Pm 0.5000 0.2103 0.5794
4 Pm 0.8575 0.3254 0.7719
5 Pm 0.2942 0.4123 0.0000
6 Pm 0.7058 0.5877 0.0000
7 Pm 0.1425 0.6746 0.2281
8 Pm 0.8575 0.0973 0.2281
9 Mg 0.0000 0.3072 0.3855
10 Mg 0.0000 0.6928 0.6145
11 Y 0.5000 0.0000 0.0000

Summary:
energy above the most stable polymorph in this dataset	106	meV per atom
Fermi-level density of states	13.49	states/eV per cell
total magnetization	0.00	Bohr magnetons per cell
energy	-4.217	eV/atom

(23)
A plane-wave DFT calculation with PBE was carried out for a relaxed structure of Ca2DyN2Cl2.

Lattice parameters (Å, degrees): 4.4209 4.4209 7.8390 106.38 106.38 90.00
Fractional coordinates of all 7 atoms:
1 Cl 0.8084 0.8084 0.6169
2 Cl 0.1916 0.1916 0.3831
3 Dy 0.0000 0.0000 0.0000
4 Ca 0.3921 0.3921 0.7843
5 Ca 0.6079 0.6079 0.2157
6 N 0.5000 0.0000 0.0000
7 N 0.0000 0.5000 0.0000

Summary:
Fermi-level density of states	2.98	states/eV per cell
total magnetization	0.22	Bohr magnetons per cell
uncorrected formation energy	-1.443	eV/atom
energy	-5.579	eV/atom

(24)
A plane-wave DFT calculation with PBE was carried out for a relaxed structure of Sc4Cd5Au2.

Lattice parameters (Å, degrees): 3.3275 7.5451 9.6076 94.19 90.00 90.00
Fractional coordinates of all 11 atoms:
1 Sc 0.5000 0.7657 0.5594
2 Sc 0.5000 0.8306 0.1312
3 Sc 0.5000 0.2343 0.4406
4 Sc 0.5000 0.1694 0.8688
5 Cd 0.0000 0.5410 0.3179
6 Cd 0.0000 0.1819 0.1487
7 Cd 0.0000 0.4590 0.6821
8 Cd 0.0000 0.5000 0.0000
9 Cd 0.0000 0.8181 0.8513
10 Au 0.0000 0.9274 0.3595
11 Au 0.0000 0.0726 0.6405

Summary:
Fermi-level density of states	7.39	states/eV per cell
total magnetization	0.00	Bohr magnetons per cell
energy	-3.717	eV/atom

(25)
A plane-wave DFT calculation with PBE was carried out for a relaxed structure of TiI3.

Lattice parameters (Å, degrees): 8.1275 8.1275 7.7806 58.51 58.51 90.00
Fractional coordinates of all 8 atoms:
1 I 0.5191 0.1250 0.2500
2 I 0.0000 0.0000 0.0000
3 I 0.7500 0.2500 0.5000
4 I 0.3750 0.4809 0.7500
5 I 0.2309 0.6250 0.2500
6 I 0.8750 0.7691 0.7500
7 Ti 0.2500 0.7500 0.5000
8 Ti 0.5000 0.5000 0.0000

Summary:
Fermi-level density of states	3.42	states/eV per cell
total magnetization	2.00	Bohr magnetons per cell
uncorrected formation energy	-0.218	eV/atom
energy	-3.354	eV/atom

(26)
A plane-wave DFT calculation with PBE was carried out for a relaxed structure of ScHgMo2.

Lattice parameters (Å, degrees): 3.2769 3.2769 6.8886 90.00 90.00 90.00
Fractional coordinates of all 4 atoms:
1 Mo 0.5000 0.5000 0.2248
2 Mo 0.0000 0.0000 0.0359
3 Sc 0.0000 0.0000 0.4800
4 Hg 0.5000 0.5000 0.7594

Summary:
Fermi-level density of states	4.22	states/eV per cell
total magnetization	0.00	Bohr magnetons per cell
energy	-7.044	eV/atom